Record 1
Here is a relaxed SrTaNb2Cr crystal from Alexandria. Energies are from PBE.

Output
**Energy of formation**: 2.604 eV per atom
**Density**: 8.195 g cm⁻³
**Raw total energy**: -6.055 eV per atom

Lattice parameters (Å, degrees): 4.8939 4.8939 4.2842 90.00 90.00 90.00
Sites, in units of the cell vectors:
Sr  0.0000  0.0000  0.0000
Ta  0.5000  0.5000  0.5000
Nb  0.0000  0.5000  0.0000
Nb  0.5000  0.0000  0.0000
Cr  0.0000  0.0000  0.5000

Record 2
Here is a relaxed Cs2SeBr6Cl crystal from Alexandria. Energies are from PBE.

Output
**Energy relative to the elements, uncorrected**: -0.797 eV/atom
**Density**: 3.898 g cm⁻³
**Raw total energy**: -2.505 eV per atom

Lattice parameters (Å, degrees): 8.1531 8.1531 8.1531 122.71 122.71 85.37
Sites, in units of the cell vectors:
Cs  0.2500  0.7500  0.5000
Cs  0.7500  0.2500  0.5000
Se  0.0000  0.0000  0.0000
Br  0.2175  0.2175  0.0000
Br  0.2372  0.2372  0.4744
Br  0.2372  0.7628  0.0000
Br  0.7628  0.2372  0.0000
Br  0.7628  0.7628  0.5256
Br  0.7825  0.7825  0.0000
Cl  0.5000  0.5000  0.0000

Record 3
Here is a relaxed YSeBr crystal from Alexandria. Energies are from PBE.

Output
**Energy relative to the elements, uncorrected**: -1.858 eV/atom
**Density**: 4.799 g cm⁻³
**Raw total energy**: -5.731 eV per atom

Lattice parameters (Å, degrees): 5.5931 4.3795 7.3924 90.00 108.75 90.00
Sites, in units of the cell vectors:
Y  0.1669  0.2500  0.3080
Y  0.8331  0.7500  0.6920
Se  0.2764  0.7500  0.5697
Se  0.7236  0.2500  0.4303
Br  0.2604  0.7500  0.0614
Br  0.7396  0.2500  0.9386

Record 4
Here is a relaxed Cs4Rb3ZnF8 crystal from Alexandria. Energies are from PBE.

Output
**Energy relative to the elements, uncorrected**: -2.398 eV/atom
**Density**: 4.128 g cm⁻³
**Raw total energy**: -3.809 eV per atom

Lattice parameters (Å, degrees): 8.3793 8.3793 8.1750 118.98 118.98 57.76
Sites, in units of the cell vectors:
Cs  0.0000  0.0000  0.0000
Cs  0.0000  0.5000  0.5000
Cs  0.5000  0.0000  0.5000
Cs  0.5000  0.5000  0.0000
Rb  0.0000  0.0000  0.5000
Rb  0.0000  0.5000  0.0000
Rb  0.5000  0.0000  0.0000
Zn  0.5000  0.5000  0.5000
F  0.2285  0.2285  0.2166
F  0.2451  0.2451  0.7562
F  0.2747  0.7173  0.2843
F  0.2827  0.7253  0.7157
F  0.7173  0.2747  0.2843
F  0.7253  0.2827  0.7157
F  0.7549  0.7549  0.2438
F  0.7715  0.7715  0.7834

Record 5
Here is a relaxed PmRu6 crystal from Alexandria. Energies are from PBE.

Output
**Energy of formation**: 0.666 eV per atom
**Density**: 8.286 g cm⁻³
**Raw total energy**: -7.963 eV per atom

Lattice parameters (Å, degrees): 5.8050 5.8050 5.8050 109.47 109.47 109.47
Sites, in units of the cell vectors:
Pm  0.0000  0.0000  0.0000
Ru  0.2500  0.5000  0.7500
Ru  0.2500  0.7500  0.5000
Ru  0.5000  0.2500  0.7500
Ru  0.5000  0.7500  0.2500
Ru  0.7500  0.2500  0.5000
Ru  0.7500  0.5000  0.2500

Record 6
Here is a relaxed Ba3TlPt crystal from Alexandria. Energies are from PBE.

Output
**Energy of formation**: -0.499 eV per atom
**Polymorph energy (0 for the lowest one)**: 0.000 eV/atom
**Density**: 6.081 g cm⁻³
**Raw total energy**: -3.334 eV per atom

Lattice parameters (Å, degrees): 9.1836 9.1836 12.6874 122.09 122.09 29.72
Sites, in units of the cell vectors:
Ba  0.1288  0.1288  0.1710
Ba  0.1553  0.1553  0.8062
Ba  0.3699  0.3699  0.5381
Ba  0.6301  0.6301  0.4619
Ba  0.8447  0.8447  0.1938
Ba  0.8712  0.8712  0.8290
Tl  0.4418  0.4418  0.0899
Tl  0.5582  0.5582  0.9101
Pt  0.2436  0.2436  0.6480
Pt  0.7564  0.7564  0.3520

Record 7
Here is a relaxed Na2HgP crystal from Alexandria. Energies are from PBE.

Output
**Energy of formation**: 0.095 eV per atom
**Polymorph energy (0 for the lowest one)**: 0.215 eV/atom
**Density**: 4.734 g cm⁻³
**Raw total energy**: -1.992 eV per atom

Lattice parameters (Å, degrees): 10.2862 10.2862 10.2862 154.96 154.96 35.70
Sites, in units of the cell vectors:
Na  0.0954  0.6250  0.9704
Na  0.3750  0.3454  0.4704
Na  0.6546  0.1250  0.0296
Na  0.8750  0.9046  0.5296
Hg  0.2500  0.7500  0.5000
Hg  0.5000  0.5000  0.0000
P  0.0000  0.0000  0.0000
P  0.7500  0.2500  0.5000

Record 8
Here is a relaxed BePb crystal from Alexandria. Energies are from PBE.

Output
**Energy of formation**: 0.448 eV per atom
**Polymorph energy (0 for the lowest one)**: 0.145 eV/atom
**Density**: 7.969 g cm⁻³
**Raw total energy**: -3.269 eV per atom

Lattice parameters (Å, degrees): 7.3311 7.3311 5.4881 111.74 111.74 29.74
Sites, in units of the cell vectors:
Be  0.0000  0.0000  0.0000
Be  0.0002  0.0002  0.3771
Be  0.4539  0.4539  0.1426
Pb  0.4266  0.4266  0.6160
Pb  0.6527  0.6527  0.3436
Pb  0.7955  0.7955  0.9856

Record 9
Here is a relaxed HgS2BrN crystal from Alexandria. Energies are from PBE.

Output
**Energy relative to the elements, uncorrected**: 1.513 eV/atom
**Polymorph energy (0 for the lowest one)**: 0.000 eV/atom
**Density**: 6.031 g cm⁻³
**Raw total energy**: -2.198 eV per atom

Lattice parameters (Å, degrees): 5.1211 5.1211 3.7654 90.00 90.00 90.00
Sites, in units of the cell vectors:
Hg  0.0000  0.0000  0.0000
S  0.0000  0.5000  0.5000
S  0.5000  0.0000  0.5000
Br  0.5000  0.5000  0.5000
N  0.5000  0.5000  0.0000

Record 10
Here is a relaxed Ho4ErSc2 crystal from Alexandria. Energies are from PBE.

Output
**Energy of formation**: 0.146 eV per atom
**Polymorph energy (0 for the lowest one)**: 0.000 eV/atom
**Density**: 7.423 g cm⁻³
**Raw total energy**: -4.931 eV per atom

Lattice parameters (Å, degrees): 5.4108 6.7534 11.5483 90.00 103.56 90.00
Sites, in units of the cell vectors:
Ho  0.0737  0.2500  0.1516
Ho  0.2146  0.7500  0.4315
Ho  0.3545  0.9997  0.7090
Ho  0.3545  0.5003  0.7090
Ho  0.6455  0.0003  0.2910
Ho  0.6455  0.4997  0.2910
Ho  0.7854  0.2500  0.5685
Ho  0.9263  0.7500  0.8484
Er  0.0746  0.7500  0.1443
Er  0.9254  0.2500  0.8557
Sc  0.2154  0.2500  0.4282
Sc  0.4985  0.2500  0.0029
Sc  0.5015  0.7500  0.9971
Sc  0.7846  0.7500  0.5718